Entry from Alexandria via LeMat-Bulk: a relaxed structure of CsBi2N (PBEsol).

Cell lengths 10.6489, 10.6489, 10.6489 Å; angles 90.00, 90.00, 90.00 degrees
Closest atoms and distances in Å follow each position.
Space group Fd-3m (No. 227, origin choice 2)
Inequivalent atoms, fractional coordinates:
1 Cs 0.1250 0.1250 0.1250 x8  12 Bi 4.41, 4 N 4.61, 4 Cs 4.61
2 Bi 0.0000 0.0000 0.5000 x16  2 N 2.31
3 N 0.1250 0.1250 0.6250 x8  4 Bi 2.31

Calculated values
The calculation puts the size of the total moment at 0.007 Bohr magnetons per cell. For the density of states at the Fermi level, the calculation gives 0.831 states/eV/atom. The calculation puts the uncorrected formation energy at 0.50 eV/atom.

***

Entry from Alexandria via LeMat-Bulk: a relaxed structure of RbY2NO (PBEsol).

Cell lengths 4.5167, 4.5167, 5.6959 Å; angles 90.00, 90.00, 90.00 degrees
Closest atoms and distances in Å follow each position.
Space group P4/mmm (No. 123)
Inequivalent atoms, fractional coordinates:
1 Rb 0.0000 0.0000 0.0000 x1  2 N 2.85
2 Y 0.0000 0.5000 0.5000 x2  2 N 2.26
3 N 0.0000 0.0000 0.5000 x1  4 Y 2.26
4 O 0.5000 0.5000 0.0000 x1  4 Rb 3.19

Calculated values
The calculation puts the size of the total moment at 0.000 Bohr magnetons per cell. For the density of states at the Fermi level, the calculation gives 0.441 states/eV/atom. The calculation puts the uncorrected formation energy at -0.48 eV/atom.

***

Entry from Alexandria via LeMat-Bulk: a relaxed structure of ScNi2W (PBEsol).

Cell lengths 2.7347, 4.2424, 4.7709 Å; angles 90.00, 97.78, 90.00 degrees
Closest atoms and distances in Å follow each position.
Space group Pm (No. 6)
Inequivalent atoms, fractional coordinates:
1 Sc 0.0000 0.0000 0.0000 x1  7 Ni 2.56-2.64, 2 Sc 2.73
2 Ni 0.3889 0.0000 0.5330 x1  4 W 2.51-2.69, 3 Sc 2.60-2.62, 4 Ni 2.65-2.73
3 Ni 0.4415 0.5000 0.8682 x1  3 W 2.54-2.64, 4 Sc 2.56-2.64, 4 Ni 2.65-2.73
4 W 0.7984 0.5000 0.4032 x1  7 Ni 2.51-2.69, 2 W 2.73

Calculated values
The value obtained for the energy relative to the lowest polymorph listed for this composition is 0.00 eV per formula unit. The calculation puts the size of the total moment at 0.000 Bohr magnetons per cell. For the density of states at the Fermi level, the calculation gives 0.678 states/eV/atom.

***

Entry from Alexandria via LeMat-Bulk: a relaxed structure of CaLaY2 (PBEsol).

Cell lengths 3.6384, 3.6384, 10.1932 Å; angles 90.00, 90.00, 90.00 degrees
Closest atoms and distances in Å follow each position.
Space group P4/mmm (No. 123)
Inequivalent atoms, fractional coordinates:
1 Ca 0.0000 0.0000 0.0000 x1  4 Ca 3.64, 8 Y 3.74
2 La 0.0000 0.0000 0.5000 x1  8 Y 3.51, 4 La 3.64
3 Y 0.5000 0.5000 0.2660 x2  4 La 3.51, 4 Y 3.64, 4 Ca 3.74

Calculated values
The value obtained for the energy relative to the lowest polymorph listed for this composition is 0.07 eV per formula unit. The calculation puts the size of the total moment at 0.005 Bohr magnetons per cell. For the density of states at the Fermi level, the calculation gives 1.887 states/eV/atom.

***

Entry from Alexandria via LeMat-Bulk: a relaxed structure of Rb2Mo2I (PBEsol).

Cell lengths 6.9723, 6.9723, 8.5260 Å; angles 90.00, 90.00, 90.00 degrees
Closest atoms and distances in Å follow each position.
Space group I4/mmm (No. 139)
Inequivalent atoms, fractional coordinates:
1 Rb 0.0000 0.5000 0.2500 x4  4 Mo 3.67, 4 I 4.09
2 Mo 0.0000 0.0000 0.1146 x4  1 Mo 1.95
3 I 0.0000 0.0000 0.5000 x2  2 Mo 3.29

Calculated values
The calculation puts the size of the total moment at 0.010 Bohr magnetons per cell. For the density of states at the Fermi level, the calculation gives 1.079 states/eV/atom. The calculation puts the uncorrected formation energy at 1.13 eV/atom.

***

Entry from Alexandria via LeMat-Bulk: a relaxed structure of CoRe2W (PBEsol).

Cell lengths 3.7892, 3.7892, 3.8264 Å; angles 90.00, 90.00, 90.00 degrees
Closest atoms and distances in Å follow each position.
Space group P4/mmm (No. 123)
Inequivalent atoms, fractional coordinates:
1 Co 0.0000 0.0000 0.0000 x1  4 W 2.68, 8 Re 2.69
2 Re 0.0000 0.5000 0.5000 x2  4 Re 2.68, 4 Co 2.69, 4 W 2.69
3 W 0.5000 0.5000 0.0000 x1  4 Co 2.68, 8 Re 2.69

Calculated values
The value obtained for the energy relative to the lowest polymorph listed for this composition is 0.00 eV per formula unit. The calculation puts the size of the total moment at 0.000 Bohr magnetons per cell. For the density of states at the Fermi level, the calculation gives 0.798 states/eV/atom.

***

Entry from Alexandria via LeMat-Bulk: a relaxed structure of SiSeCl2 (PBEsol).

Cell lengths 4.2567, 4.2567, 8.2798 Å; angles 90.00, 90.00, 90.00 degrees
Closest atoms and distances in Å follow each position.
Space group I4/mmm (No. 139)
Inequivalent atoms, fractional coordinates:
1 Si 0.0000 0.0000 0.0000 x2  8 Cl 2.97, 4 Se 3.01
2 Se 0.0000 0.0000 0.5000 x2  8 Cl 2.97, 4 Si 3.01
3 Cl 0.0000 0.5000 0.2500 x4  4 Se 2.97, 4 Si 2.97, 4 Cl 3.01

Calculated values
The value obtained for the energy relative to the lowest polymorph listed for this composition is 1.16 eV per formula unit. The calculation puts the size of the total moment at 0.002 Bohr magnetons per cell. For the density of states at the Fermi level, the calculation gives 0.744 states/eV/atom. The calculation puts the uncorrected formation energy at 0.38 eV/atom.

***

Entry from Alexandria via LeMat-Bulk: a relaxed structure of CdOsPb2 (PBEsol).

Cell lengths 4.3432, 4.3432, 9.0177 Å; angles 90.00, 90.00, 90.00 degrees
Closest atoms and distances in Å follow each position.
Space group I-4m2 (No. 119)
Inequivalent atoms, fractional coordinates:
1 Cd 0.0000 0.0000 0.0000 x2  8 Pb 3.07-3.13, 4 Os 3.13
2 Os 0.0000 0.5000 0.2500 x2  8 Pb 3.07-3.13, 4 Cd 3.13
3 Pb 0.0000 0.0000 0.5000 x2  4 Cd 3.07, 4 Pb 3.13, 4 Os 3.13
4 Pb 0.0000 0.5000 0.7500 x2  4 Os 3.07, 4 Pb 3.13, 4 Cd 3.13

Calculated values
The total energy is -4.53 eV/atom. The calculation puts the size of the total moment at 0.000 Bohr magnetons per cell. For the density of states at the Fermi level, the calculation gives 0.663 states/eV/atom.

***

What is the size of the total moment in the fourth record?
0.005 Bohr magnetons per cell